1.
Compound: TcMo3W9
Source: Alexandria via LeMat-Bulk
Functional: GGA-PBE
Structure: relaxed

Calculated values
DFT formation energy (eV/atom): 0.484
Density (g/cm³): 15.5

Lattice parameters (Å, degrees): 7.9404 7.9404 10.2631 59.20 59.20 55.86
Sites, in units of the cell vectors:
W (0.4957, 0.8434, 0.8930)
Tc (0.1249, 0.3920, 0.5200)
Tc (0.3920, 0.1249, 0.0200)
W (0.5209, 0.4318, 0.4606)
W (0.8636, 0.4902, 0.8017)
W (0.0441, 0.1216, 0.0383)
W (0.2966, 0.2695, 0.7444)
W (0.1201, 0.7195, 0.5302)
W (0.7106, 0.3106, 0.7072)
Mo (0.5892, 0.2366, 0.2880)
Mo (0.2366, 0.5892, 0.7880)
W (0.1216, 0.0441, 0.5383)
W (0.4902, 0.8636, 0.3017)
W (0.7195, 0.1201, 0.0302)
W (0.8434, 0.4957, 0.3930)
Mo (0.0080, 0.1416, 0.2931)
Mo (0.1416, 0.0080, 0.7931)
W (0.4318, 0.5209, 0.9606)
W (0.7162, 0.9955, 0.5936)
W (0.9955, 0.7162, 0.0936)
W (0.7474, 0.5326, 0.1088)
W (0.5326, 0.7474, 0.6088)
W (0.2695, 0.2966, 0.2444)
Mo (0.8398, 0.8733, 0.8432)
Mo (0.8733, 0.8398, 0.3432)
W (0.3106, 0.7106, 0.2072)



2.
Compound: MgTl2Te2
Source: Alexandria via LeMat-Bulk
Functional: GGA-PBE
Structure: relaxed

Calculated values
Formation energy from raw total energies (eV/atom): -0.52
Density (g/cm³): 6.4

Lattice parameters (Å, degrees): 7.2624 8.6508 8.6513 108.82 114.73 114.73
Sites, in units of the cell vectors:
Tl (0.6746, 0.8585, 0.1424)
Tl (0.1746, 0.6424, 0.3585)
Te (0.7902, 0.1159, 0.8861)
Te (0.2099, 0.8841, 0.1140)
Mg (0.2500, 0.2498, 0.2502)
Tl (0.8254, 0.3576, 0.6415)
Te (0.2901, 0.3860, 0.6159)
Mg (0.7500, 0.7502, 0.7498)
Tl (0.3254, 0.1415, 0.8576)
Te (0.7099, 0.6140, 0.3842)



3.
Compound: PmTiGePt
Source: Alexandria via LeMat-Bulk
Functional: GGA-PBE
Structure: relaxed

Calculated values
DFT formation energy (eV/atom): -0.552
Density (g/cm³): 9.4

Lattice parameters (Å, degrees): 4.8583 4.8583 4.8583 60.00 60.00 60.00
Site moments in Bohr magnetons follow the coordinates.
Sites, in units of the cell vectors:
Pm (0.5000, 0.5000, 0.5000)  0.07
Pt (0.7500, 0.7500, 0.7500)  0.01
Ge (0.2500, 0.2500, 0.2500)  -0.04
Ti (0.0000, 0.0000, 0.0000)  1.02



4.
Compound: NbS2ICl
Source: Alexandria via LeMat-Bulk
Functional: GGA-PBE
Structure: relaxed

Calculated values
Formation energy from raw total energies (eV/atom): 1.17
Density (g/cm³): 3.8

Lattice parameters (Å, degrees): 5.1467 5.1467 5.2360 90.00 90.00 90.00
Site moments in Bohr magnetons follow the coordinates.
Sites, in units of the cell vectors:
S (0.0000, 0.5000, 0.0000)  -0.08
Nb (0.5000, 0.5000, 0.5000)  2.83
Cl (0.0000, 0.0000, 0.5000)  0.01
S (0.5000, 0.0000, 0.0000)  -0.08
I (0.0000, 0.0000, 0.0000)  0.02



5.
Compound: LiTmNi2
Source: Alexandria via LeMat-Bulk
Functional: GGA-PBE
Structure: relaxed

Calculated values
DFT formation energy (eV/atom): -0.184
Density (g/cm³): 7.7

Lattice parameters (Å, degrees): 4.0766 4.0766 4.9963 65.92 65.92 60.00
Sites, in units of the cell vectors:
Tm (0.0000, 0.0000, 0.0000)
Ni (0.2061, 0.2061, 0.3817)
Li (0.5000, 0.5000, 0.5000)
Ni (0.7939, 0.7939, 0.6183)



6.
Compound: Cd2CoP
Source: Alexandria via LeMat-Bulk
Functional: GGA-PBE
Structure: relaxed

Calculated values
DFT formation energy (eV/atom): 0.492
Density (g/cm³): 7.4

Lattice parameters (Å, degrees): 5.0131 2.9439 4.7634 93.47 90.00 90.00
Site moments in Bohr magnetons follow the coordinates.
Sites, in units of the cell vectors:
Cd (0.0000, 0.9869, 0.0047)  -0.01
P (0.5000, 0.7500, 0.7500)  0.05
Co (0.5000, 0.2500, 0.2500)  1.52
Cd (0.0000, 0.5131, 0.4953)  -0.01



Q: What is the density in the fifth record?
A: 7.7 g/cm³